Entry 1:
The following is a DFT calculation (PBEsol) of a relaxed structure of Os2Ru.

a b c (Å): 2.691 2.691 6.586
angles (deg): 90.00 90.00 120.00
Sites, in units of the cell vectors:
Os (0.667, 0.333, 0.332)
Os (0.333, 0.667, 0.668)
Ru (0.000, 0.000, 0.000)

Properties
- Formation enthalpy at 0 K: 0.13 eV per atom
- Distance to the lowest polymorph of the same formula: 144 meV per atom
- Total magnetic moment: 0.000 Bohr magnetons per cell
- Calculated volume: 13.768 Å³/atom
- Space-group type: No. 164
- Crystal system: trigonal

Entry 2:
The following is a DFT calculation (PBEsol) of a relaxed structure of Mg2Ag.

a b c (Å): 3.313 3.313 5.744
angles (deg): 106.76 106.76 90.00
Sites, in units of the cell vectors:
Mg (0.651, 0.651, 0.302)
Mg (0.349, 0.349, 0.698)
Ag (0.000, 0.000, 0.000)

Properties
- Formation enthalpy at 0 K: -0.17 eV per atom
- Total magnetic moment: 0.000 Bohr magnetons per cell
- Calculated volume: 19.187 Å³/atom
- Space-group type: No. 139
- Crystal system: tetragonal

Entry 3:
The following is a DFT calculation (PBEsol) of a relaxed structure of NaLi2Ca.

a b c (Å): 5.516 5.516 5.516
angles (deg): 60.00 60.00 60.00
Sites, in units of the cell vectors:
Ca (0.500, 0.500, 0.500)
Na (0.000, 0.000, 0.000)
Li (0.750, 0.750, 0.750)
Li (0.250, 0.250, 0.250)

Properties
- Formation enthalpy at 0 K: 0.08 eV per atom
- Total magnetic moment: 0.000 Bohr magnetons per cell
- Calculated volume: 29.673 Å³/atom
- Space-group type: No. 225
- Crystal system: cubic

> Number 3 is which compound?

NaLi2Ca

> Which value of total magnetic moment does entry 3 give?

0.000 Bohr magnetons per cell